Record 1
# Mg2AlCl, optimized geometry, DFT GGA-PBE
data_Mg2AlCl
_cell_length_a 7.6185
_cell_length_b 7.6185
_cell_length_c 6.4027
_cell_angle_alpha 90.00
_cell_angle_beta 90.00
_cell_angle_gamma 90.00
_symmetry_space_group_name_H-M 'I -4 2 d'
_symmetry_Int_Tables_number 122
_symmetry_space_group_name_Hall 'I -4 2bw'
loop_
_atom_site_label
_atom_site_fract_x
_atom_site_fract_y
_atom_site_fract_z
Mg1 0.2269 0.2500 0.1250
Al1 0.0000 0.0000 0.5000
Cl1 0.0000 0.0000 0.0000
# Energy relative to the lowest polymorph listed for this composition (meV per atom): 317
# Formation energy (no corrections) (eV per formula unit): -0.72
# Volume (Å³/cell): 371.6
# Electronic total energy (eV/atom): -2.376


Record 2
# La4CuP, optimized geometry, DFT GGA-PBE
data_La4CuP
_cell_length_a 8.8684
_cell_length_b 8.8684
_cell_length_c 8.8684
_cell_angle_alpha 90.00
_cell_angle_beta 90.00
_cell_angle_gamma 90.00
_symmetry_space_group_name_H-M 'F -4 3 m'
_symmetry_Int_Tables_number 216
_symmetry_space_group_name_Hall 'F -4 2 3'
loop_
_atom_site_label
_atom_site_fract_x
_atom_site_fract_y
_atom_site_fract_z
La1 0.1232 0.1232 0.1232
Cu1 0.0000 0.0000 0.5000
P1 0.2500 0.2500 0.7500
# Energy of formation (eV/atom): 0.44
# Volume (Å³/cell): 697.5
# Electronic total energy (eV/atom): -4.430


Record 3
# ZrNb2IrN, optimized geometry, DFT GGA-PBE
data_ZrNb2IrN
_cell_length_a 4.2880
_cell_length_b 4.2880
_cell_length_c 4.2849
_cell_angle_alpha 90.00
_cell_angle_beta 90.00
_cell_angle_gamma 90.00
_symmetry_space_group_name_H-M 'P 4/m m m'
_symmetry_Int_Tables_number 123
_symmetry_space_group_name_Hall '-P 4 2'
loop_
_atom_site_label
_atom_site_fract_x
_atom_site_fract_y
_atom_site_fract_z
Zr1 0.0000 0.0000 0.0000
Nb1 0.0000 0.5000 0.5000
Ir1 0.5000 0.5000 0.0000
N1 0.5000 0.5000 0.5000
# Energy relative to the lowest polymorph listed for this composition (meV per atom): 339
# Formation energy (no corrections) (eV per formula unit): -1.89
# Volume (Å³/cell): 78.8
# Electronic total energy (eV/atom): -9.554


Record 4
# Ba2InGa, optimized geometry, DFT GGA-PBE
data_Ba2InGa
_cell_length_a 7.9738
_cell_length_b 5.3136
_cell_length_c 14.5106
_cell_angle_alpha 90.00
_cell_angle_beta 90.00
_cell_angle_gamma 90.00
_symmetry_space_group_name_H-M 'A m m 2'
_symmetry_Int_Tables_number 38
loop_
_symmetry_equiv_pos_as_xyz
'x,y,z'
'-x,-y,z'
'-x,y,z'
'x,-y,z'
'x,y+1/2,z+1/2'
'-x,-y+1/2,z+1/2'
'-x,y+1/2,z+1/2'
'x,-y+1/2,z+1/2'
loop_
_atom_site_label
_atom_site_fract_x
_atom_site_fract_y
_atom_site_fract_z
Ba1 0.0000 0.0000 0.0000
Ba2 0.0000 0.0000 0.2846
Ba3 0.5000 0.0000 0.1371
Ba4 0.5000 0.0000 0.4296
In1 0.3143 0.0000 0.7946
Ga1 0.1655 0.0000 0.6218
# Energy relative to the lowest polymorph listed for this composition (meV per atom): 0
# Energy of formation (eV/atom): -0.35
# Volume (Å³/cell): 614.8
# Electronic total energy (eV/atom): -2.748


Record 5
# Nb2P2I, optimized geometry, DFT GGA-PBE
data_Nb2P2I
_cell_length_a 4.5880
_cell_length_b 4.5880
_cell_length_c 9.0303
_cell_angle_alpha 90.00
_cell_angle_beta 90.00
_cell_angle_gamma 90.00
_symmetry_space_group_name_H-M 'I 4/m m m'
_symmetry_Int_Tables_number 139
_symmetry_space_group_name_Hall '-I 4 2'
loop_
_atom_site_label
_atom_site_fract_x
_atom_site_fract_y
_atom_site_fract_z
Nb1 0.0000 0.5000 0.2500
P1 0.0000 0.0000 0.1290
I1 0.0000 0.0000 0.5000
# Energy relative to the lowest polymorph listed for this composition (meV per atom): 0
# Formation energy (no corrections) (eV per formula unit): -1.33
# Volume (Å³/cell): 190.1
# Electronic total energy (eV/atom): -6.769


Record 6
# Mg2AgMo, optimized geometry, DFT GGA-PBE
data_Mg2AgMo
_cell_length_a 6.6131
_cell_length_b 6.6131
_cell_length_c 6.6131
_cell_angle_alpha 90.00
_cell_angle_beta 90.00
_cell_angle_gamma 90.00
_symmetry_space_group_name_H-M 'F m -3 m'
_symmetry_Int_Tables_number 225
_symmetry_space_group_name_Hall '-F 4 2 3'
loop_
_atom_site_label
_atom_site_fract_x
_atom_site_fract_y
_atom_site_fract_z
Mg1 0.2500 0.2500 0.2500
Ag1 0.0000 0.0000 0.0000
Mo1 0.0000 0.0000 0.5000
# Energy relative to the lowest polymorph listed for this composition (meV per atom): 276
# Energy of formation (eV/atom): 0.39
# Volume (Å³/cell): 289.2
# Electronic total energy (eV/atom): -3.831